Density functional theory data (PBE) for an optimized crystal structure of TlPdS2Cl.

The total magnetization is 1.3 μB per cell. Its energy relative to the lowest polymorph listed for this composition is 0.0 kJ/mol of atoms. For the formation energy from raw total energies, the calculation gives -25 meV per atom. For the theoretical density, the calculation gives 5.82 g cm⁻³. For the density of states at the Fermi level, the calculation gives 4.79 states/eV/cell.

It has space group P4/mmm (No. 123), with a = 4.7608 Å, b = 4.7608 Å, c = 5.1623 Å, α = 90.00°, β = 90.00° and γ = 90.00°. The asymmetric unit holds Tl at (0.0000, 0.0000, 0.0000), Pd at (0.5000, 0.5000, 0.5000), S at (0.0000, 0.5000, 0.5000) and Cl at (0.5000, 0.5000, 0.0000).